Record 1
Material: AgPbS2N
Method: DFT, GGA-PBEsol
State: relaxed

Lattice parameters (Å, degrees): 4.9489 4.9489 3.9817 90.00 90.00 90.00
Closest atoms and distances in Å follow each position.
Space group P4/mmm (No. 123)
One atom of each set of equivalent atoms:
Ag 0.0000 0.0000 0.0000 [1 per cell]  2 N 1.99
Pb 0.5000 0.5000 0.5000 [1 per cell]  8 S 3.18, 4 N 3.50
S 0.0000 0.5000 0.0000 [2 per cell]  2 Ag 2.47
N 0.0000 0.0000 0.5000 [1 per cell]  2 Ag 1.99

Results
* E_form (uncorrected): 0.74 eV per atom


Record 2
Material: AgPdN2
Method: DFT, GGA-PBEsol
State: relaxed

Lattice parameters (Å, degrees): 3.0435 3.0435 18.3765 90.00 90.00 120.00
Closest atoms and distances in Å follow each position.
Space group R-3m (No. 166, hexagonal axes)
One atom of each set of equivalent atoms:
Ag 0.0000 0.0000 0.0000 [3 per cell]  2 N 2.02
Pd 0.0000 0.0000 0.5000 [3 per cell]  6 N 2.04
N 0.0000 0.0000 0.1100 [6 per cell]  1 Ag 2.02, 3 Pd 2.04

Results
* E_form (uncorrected): 0.87 eV per atom


Record 3
Material: AgTe2PdN
Method: DFT, GGA-PBEsol
State: relaxed

Lattice parameters (Å, degrees): 5.5021 5.5021 3.5911 90.00 90.00 90.00
Closest atoms and distances in Å follow each position.
Space group P4/mmm (No. 123)
One atom of each set of equivalent atoms:
Ag 0.0000 0.0000 0.0000 [1 per cell]  8 Te 3.29, 2 Ag 3.59
Te 0.0000 0.5000 0.5000 [2 per cell]  2 Pd 2.75
Pd 0.5000 0.5000 0.5000 [1 per cell]  2 N 1.80
N 0.5000 0.5000 0.0000 [1 per cell]  2 Pd 1.80

Results
* E_form (uncorrected): 0.60 eV per atom


Record 4
Material: ZrAgPdN2
Method: DFT, GGA-PBEsol
State: relaxed

Lattice parameters (Å, degrees): 3.9839 3.9839 4.7034 90.00 90.00 90.00
Closest atoms and distances in Å follow each position.
Space group P4/mmm (No. 123)
One atom of each set of equivalent atoms:
Zr 0.0000 0.0000 0.0000 [1 per cell]  4 Pd 2.82, 8 N 3.08
Ag 0.5000 0.5000 0.5000 [1 per cell]  4 N 1.99
Pd 0.5000 0.5000 0.0000 [1 per cell]  2 Ag 2.35
N 0.0000 0.5000 0.5000 [2 per cell]  2 Ag 1.99

Results
* E_form (uncorrected): 1.35 eV per atom


Record 5
Material: RbTcAg2N
Method: DFT, GGA-PBEsol
State: relaxed

Lattice parameters (Å, degrees): 5.3315 5.3315 3.7768 90.00 90.00 90.00
Closest atoms and distances in Å follow each position.
Space group P4/mmm (No. 123)
One atom of each set of equivalent atoms:
Rb 0.0000 0.0000 0.0000 [1 per cell]  8 Ag 3.27
Tc 0.5000 0.5000 0.5000 [1 per cell]  2 N 1.89
Ag 0.0000 0.5000 0.5000 [2 per cell]  2 Tc 2.67
N 0.5000 0.5000 0.0000 [1 per cell]  2 Tc 1.89

Results
* E_form (uncorrected): 0.58 eV per atom


Record 6
Material: AgRhSeN2
Method: DFT, GGA-PBEsol
State: relaxed

Lattice parameters (Å, degrees): 3.7278 3.7278 5.5102 90.00 90.00 90.00
Closest atoms and distances in Å follow each position.
Space group P4/mmm (No. 123)
One atom of each set of equivalent atoms:
Ag 0.0000 0.0000 0.0000 [1 per cell]  4 Se 2.64
Rh 0.5000 0.5000 0.5000 [1 per cell]  4 N 1.86
Se 0.5000 0.5000 0.0000 [1 per cell]  4 Ag 2.64, 2 Rh 2.76
N 0.0000 0.5000 0.5000 [2 per cell]  2 Rh 1.86

Results
* E_form (uncorrected): 0.85 eV per atom
* energy above the lowest structure with this stoichiometry: 0 kJ/mol of formula units